# CrTeHI2

Crystalline CrTeHI2 at its relaxed geometry (PBE, Alexandria via LeMat-Bulk).

a b c (Å): 5.644 5.644 5.163
angles (deg): 90.00 90.00 90.00
Each line ends with the local moment (μB).
Element x y z (fractional)
Te (0.000, 0.000, 0.500)  -0.40
I (0.000, 0.500, 0.000)  -0.03
I (0.500, 0.000, 0.000)  -0.03
Cr (0.000, 0.000, 0.000)  3.16
H (0.500, 0.500, 0.500)  0.37

Results
spin magnetization: 3.633 Bohr magnetons per cell
VASP energy: -16.68 eV for the cell shown